The following is a GGA-PBE calculation of an optimized crystal structure of KBe2Rh, from Alexandria.

Structure (POSCAR):
```
KBe2Rh
1.0
-0.7591 -3.3645 -1.5261
0.3711 -3.1345 2.0647
-6.0737 -1.6412 2.0169
Be K Rh
2 1 1
Direct
0.0099 0.0099 0.9691 Be
0.6786 0.6786 0.9629 Be
0.4997 0.4997 0.5039 K
0.3118 0.3118 0.0641 Rh
```

Properties
As for the calculated formation energy: -0.0735 eV/atom. The value obtained for the density of states at the Fermi level is 0.60 states/eV per cell. Its space group is No. 8. The value obtained for the theoretical density is 3.455 g/cm3.

---

The following is a GGA-PBE calculation of an optimized crystal structure of LiHoSc4O8, from Alexandria.

Structure (POSCAR):
```
LiHoSc4O8
1.0
-2.1127 5.8975 1.1115
-3.3845 1.2310 5.2449
2.4729 3.4420 4.6468
Sc O Ho Li
4 8 1 1
Direct
0.0008 0.0008 0.5003 Sc
0.4980 0.0008 0.5003 Sc
0.6209 0.6209 0.1373 Sc
0.0008 0.4980 0.5003 Sc
0.2332 0.7451 0.2765 O
0.7451 0.2332 0.2765 O
0.7569 0.7569 0.7293 O
0.2395 0.2395 0.2815 O
0.7899 0.2421 0.7258 O
0.2421 0.2421 0.7258 O
0.7451 0.7451 0.2765 O
0.2421 0.7899 0.7258 O
0.3808 0.3808 0.8577 Ho
0.0046 0.0046 0.9861 Li
```

Properties
The value obtained for the density of states at the Fermi level is 0.00 states/eV per cell. Its space group is No. 160. The energy is -0.619 Ry/atom. The value obtained for the theoretical density is 4.451 g/cm3.

---

The following is a GGA-PBE calculation of an optimized crystal structure of TeSe2NCl, from Alexandria.

Structure (POSCAR):
```
TeSe2NCl
1.0
-0.8676 -4.8783 -2.1462
3.5101 1.1078 -3.9371
4.0046 -2.0315 2.9987
Se N Cl Te
2 1 1 1
Direct
0.5000 0.0000 0.0000 Se
0.0000 0.0000 0.5000 Se
0.5000 0.5000 0.5000 N
0.0000 0.5000 0.0000 Cl
0.0000 0.0000 0.0000 Te
```

Properties
The value obtained for the density of states at the Fermi level is 6.66 states/eV per cell. Its space group is No. 123. The energy is -0.204 Ry/atom. The value obtained for the theoretical density is 3.540 g/cm3.

---

The following is a GGA-PBE calculation of an optimized crystal structure of CaGe2Pd7, from Alexandria.

Structure (POSCAR):
```
CaGe2Pd7
1.0
4.0324 0.0000 -0.7759
-0.1493 4.0296 -0.7759
-0.0577 -0.0599 10.5662
Ge Pd Ca
2 7 1
Direct
0.3259 0.3259 0.6517 Ge
0.6741 0.6741 0.3483 Ge
0.5000 0.5000 0.0000 Pd
0.7500 0.2500 0.5000 Pd
0.1052 0.6052 0.2105 Pd
0.3948 0.8948 0.7895 Pd
0.8948 0.3948 0.7895 Pd
0.6052 0.1052 0.2105 Pd
0.2500 0.7500 0.5000 Pd
0.0000 0.0000 0.0000 Ca
```

Properties
As for the calculated formation energy: -0.5209 eV/atom. The value obtained for the density of states at the Fermi level is 2.81 states/eV per cell. Its space group is No. 139. The value obtained for the theoretical density is 9.017 g/cm3.

---

The following is a GGA-PBE calculation of an optimized crystal structure of TaOs2Ru, from Alexandria.

Structure (POSCAR):
```
TaOs2Ru
1.0
2.7891 0.0057 0.0000
-0.0057 2.7891 0.0000
0.0000 0.0000 7.8061
Ta Os Ru
1 2 1
Direct
0.5000 0.5000 0.7486 Ta
0.0000 0.0000 0.0169 Os
0.5000 0.5000 0.2494 Os
0.0000 0.0000 0.4852 Ru
```

Properties
As for the calculated formation energy: -0.0031 eV/atom. The value obtained for the density of states at the Fermi level is 3.59 states/eV per cell. Its space group is No. 99. The value obtained for the theoretical density is 18.115 g/cm3.

---

The following is a GGA-PBE calculation of an optimized crystal structure of NaY2InH, from Alexandria.

Structure (POSCAR):
```
NaY2InH
1.0
-0.4865 -0.2074 -4.8926
-4.8251 -0.8192 0.5145
-0.7716 4.4737 -0.1129
H Y In Na
1 2 1 1
Direct
0.0000 0.0000 0.0000 H
0.0000 0.5000 0.0000 Y
0.5000 0.0000 0.0000 Y
0.5000 0.5000 0.5000 In
0.0000 0.0000 0.5000 Na
```

Properties
The value obtained for the density of states at the Fermi level is 2.70 states/eV per cell. Its space group is No. 123. The energy is -0.318 Ry/atom. The value obtained for the theoretical density is 4.781 g/cm3.

---

The following is a GGA-PBE calculation of an optimized crystal structure of FeAg2Ir, from Alexandria.

Structure (POSCAR):
```
FeAg2Ir
1.0
-1.2375 -4.0445 -3.4333
3.8632 -3.2747 -2.0076
-2.6223 1.9831 4.3438
Fe Ag Ir
1 2 1
Direct
0.7500 0.2500 0.5000 Fe
0.5090 0.5090 0.0000 Ag
0.9910 0.9910 0.0000 Ag
0.2500 0.7500 0.5000 Ir
```

Properties
As for the calculated formation energy: 0.3758 eV/atom. The value obtained for the density of states at the Fermi level is 3.12 states/eV per cell. Its space group is No. 71. The value obtained for the theoretical density is 12.335 g/cm3.

---

The following is a GGA-PBE calculation of an optimized crystal structure of BaZrFe2, from Alexandria.

Structure (POSCAR):
```
BaZrFe2
1.0
4.8219 -0.0657 0.5912
3.4909 3.3269 0.5912
1.8208 0.7143 6.5496
Ba Fe Zr
1 2 1
Direct
0.7500 0.7500 0.7500 Ba
0.9853 0.9853 0.1522 Fe
0.5147 0.5147 0.3478 Fe
0.2500 0.2500 0.2500 Zr
```

Properties
As for the calculated formation energy: 0.4584 eV/atom. The value obtained for the density of states at the Fermi level is 4.95 states/eV per cell. Its space group is No. 12. The value obtained for the theoretical density is 5.520 g/cm3.

---

The following is a GGA-PBE calculation of an optimized crystal structure of Ca3AlSi2, from Alexandria.

Structure (POSCAR):
```
Ca3AlSi2
1.0
-3.7847 7.1848 -2.2364
-2.7802 -3.8190 -7.5642
-4.3964 -6.8381 5.0683
Ca Al Si
12 4 8
Direct
0.9869 0.9914 0.7760 Ca
0.0131 0.0086 0.2240 Ca
0.0971 0.4042 0.3378 Ca
0.2332 0.8287 0.6159 Ca
0.7668 0.1713 0.3841 Ca
0.4869 0.5086 0.2760 Ca
0.5971 0.0958 0.8378 Ca
0.5131 0.4914 0.7240 Ca
0.9029 0.5958 0.6622 Ca
0.2668 0.3287 0.8841 Ca
0.4029 0.9042 0.1622 Ca
0.7332 0.6713 0.1159 Ca
0.4308 0.1454 0.4727 Al
0.5692 0.8546 0.5273 Al
0.9308 0.3546 0.9727 Al
0.0692 0.6454 0.0273 Al
0.7937 0.8300 0.4189 Si
0.7063 0.3300 0.0811 Si
0.2568 0.2075 0.1637 Si
0.2937 0.6700 0.9189 Si
0.2063 0.1700 0.5811 Si
0.7568 0.2925 0.6637 Si
0.7432 0.7925 0.8363 Si
0.2432 0.7075 0.3363 Si
```

Properties
The value obtained for the density of states at the Fermi level is 0.93 states/eV per cell. Its space group is No. 14. The energy is -0.282 Ry/atom. The value obtained for the theoretical density is 2.236 g/cm3.

---

The following is a GGA-PBE calculation of an optimized crystal structure of Ac2Cu12Ni3Ag, from Alexandria.

Structure (POSCAR):
```
Ac2Cu12Ni3Ag
1.0
-0.3201 7.7160 -1.4767
-5.2099 4.5419 3.7482
2.4152 5.1751 5.4042
Cu Ac Ni Ag
12 2 3 1
Direct
0.8831 0.3552 0.3552 Cu
0.1229 0.6099 0.1229 Cu
0.6099 0.1229 0.1229 Cu
0.3552 0.8831 0.3552 Cu
0.1229 0.1229 0.6099 Cu
0.6448 0.1169 0.6448 Cu
0.3552 0.3552 0.8831 Cu
0.6448 0.6448 0.1169 Cu
0.3901 0.8771 0.8771 Cu
0.1169 0.6448 0.6448 Cu
0.8771 0.8771 0.3901 Cu
0.8771 0.3901 0.8771 Cu
0.6154 0.6154 0.6154 Ac
0.3846 0.3846 0.3846 Ac
0.0000 0.0000 0.5000 Ni
0.5000 0.0000 0.0000 Ni
0.0000 0.5000 0.0000 Ni
0.0000 0.0000 0.0000 Ag
```

Properties
As for the calculated formation energy: 0.4735 eV/atom. The value obtained for the density of states at the Fermi level is 6.27 states/eV per cell. Its space group is No. 166. The value obtained for the theoretical density is 7.297 g/cm3.

---

The following is a GGA-PBE calculation of an optimized crystal structure of SiAs2SeN, from Alexandria.

Structure (POSCAR):
```
SiAs2SeN
1.0
4.3218 0.0000 0.0000
0.0000 4.3218 0.0000
0.0000 0.0000 4.5535
Se As N Si
1 2 1 1
Direct
0.0000 0.0000 0.5000 Se
0.0000 0.5000 0.0000 As
0.5000 0.0000 0.0000 As
0.0000 0.0000 0.0000 N
0.5000 0.5000 0.5000 Si
```

Properties
The value obtained for the density of states at the Fermi level is 3.21 states/eV per cell. Its space group is No. 123. The energy is -0.321 Ry/atom. The value obtained for the theoretical density is 5.289 g/cm3.

---

The following is a GGA-PBE calculation of an optimized crystal structure of Sr2CuNiH, from Alexandria.

Structure (POSCAR):
```
Sr2CuNiH
1.0
-1.7537 2.1816 -4.5225
-4.8088 -2.1082 0.8478
-0.9758 2.9502 1.8015
Sr Cu Ni H
2 1 1 1
Direct
0.5000 0.0000 0.0000 Sr
0.0000 0.5000 0.0000 Sr
0.5000 0.5000 0.5000 Cu
0.0000 0.0000 0.5000 Ni
0.0000 0.0000 0.0000 H
```

Properties
The value obtained for the density of states at the Fermi level is 2.52 states/eV per cell. Its space group is No. 123. The energy is -0.250 Ry/atom. The value obtained for the theoretical density is 4.878 g/cm3.